[1]
K2CS, relaxed, DFT PBE-GGA; DOS at the Fermi energy = 4.982 states/eV/f.u.; size of the total moment = 2.000 μB/f.u.; crystal system = tetragonal; ΔE_f (raw) = 1.040 eV per atom
1.0
5.9080 0.0000 0.0000
0.0000 5.9080 0.0000
2.9540 2.9540 8.7634
K S C
4 2 2
direct
0.3750 0.3841 0.7500
0.8750 0.8659 0.7500
0.1341 0.6250 0.2500
0.6159 0.1250 0.2500
0.7500 0.2500 0.5000
0.0000 0.0000 0.0000
0.2500 0.7500 0.5000
0.5000 0.5000 0.0000

***

[2]
K2CS3, relaxed, DFT PBE-GGA; size of the total moment = 0.000 μB/f.u.; crystal system = orthorhombic; ΔE_f (raw) = -0.548 eV per atom
1.0
6.5378 -0.2783 -1.8679
-1.9415 6.2491 -1.8679
0.1016 0.1320 9.8029
K S C
4 6 2
direct
0.2500 0.7500 0.5000
0.7139 0.7139 0.0000
0.7500 0.2500 0.5000
0.2861 0.2861 0.0000
0.4805 0.7607 0.2412
0.7607 0.4805 0.2412
0.2332 0.2332 0.4664
0.7668 0.7668 0.5336
0.2393 0.5195 0.7588
0.5195 0.2393 0.7588
0.6704 0.6704 0.3408
0.3296 0.3296 0.6592

***

[3]
K2CS, relaxed, DFT PBE-GGA; DOS at the Fermi energy = 4.601 states/eV/f.u.; size of the total moment = 2.000 μB/f.u.; crystal system = cubic; ΔE_f (raw) = 0.841 eV per atom
1.0
0.0000 3.7342 3.7342
3.7342 0.0000 3.7342
3.7342 3.7342 0.0000
K S C
2 1 1
direct
0.7500 0.7500 0.7500
0.2500 0.2500 0.2500
0.5000 0.5000 0.5000
0.0000 0.0000 0.0000

***

[4]
K2CS3, relaxed, DFT PBE-GGA; size of the total moment = 0.000 μB/f.u.; crystal system = trigonal; ΔE_f (raw) = -0.551 eV per atom
1.0
-4.5166 -4.7205 -1.9938
4.9735 1.9761 -4.2446
5.5321 -6.7112 3.3576
K C S
4 2 6
direct
0.0000 0.0000 0.5000
0.3333 0.6667 0.7466
0.0000 0.0000 0.0000
0.6667 0.3333 0.2534
0.6667 0.3333 0.7491
0.3333 0.6667 0.2509
0.6240 0.8120 0.2509
0.8120 0.6240 0.7491
0.1880 0.3760 0.2509
0.8120 0.1880 0.7491
0.3760 0.1880 0.7491
0.1880 0.8120 0.2509

***

[5]
KCS2, relaxed, DFT PBE-GGA; DOS at the Fermi energy = 1.313 states/eV/f.u.; size of the total moment = 1.000 μB/f.u.; crystal system = trigonal; ΔE_f (raw) = 0.001 eV per atom
1.0
-5.9583 1.3673 1.6784
-5.4404 -2.9433 -1.3877
-4.0429 -3.1434 3.7365
K S C
1 2 1
direct
0.5000 0.5000 0.5000
0.0963 0.0963 0.0963
0.9037 0.9037 0.9037
0.0000 0.0000 0.0000

***

[6]
KCS2, relaxed, DFT PBE-GGA; DOS at the Fermi energy = 2.547 states/eV/f.u.; size of the total moment = 0.066 μB/f.u.; crystal system = tetragonal; ΔE_f (raw) = 0.332 eV per atom
1.0
-1.3755 5.6219 -2.5997
-6.1928 -1.1980 0.6859
-3.7093 3.9326 2.7245
C K S
2 2 4
direct
0.2500 0.7500 0.5000
0.5000 0.5000 0.0000
0.7500 0.2500 0.5000
0.0000 0.0000 0.0000
0.8750 0.7203 0.7500
0.2797 0.6250 0.2500
0.3750 0.5297 0.7500
0.4703 0.1250 0.2500

***

[7]
K3CS4, relaxed, DFT PBE-GGA; DOS at the Fermi energy = 7.950 states/eV/f.u.; size of the total moment = 1.070 μB/f.u.; crystal system = orthorhombic; ΔE_f (raw) = -0.489 eV per atom
1.0
8.9802 0.0000 0.0000
0.0000 8.9434 0.0000
0.0000 0.0000 10.5469
S K C
16 12 4
direct
0.6746 0.5455 0.6061
0.3254 0.4545 0.1061
0.3254 0.4545 0.3939
0.8254 0.0455 0.1061
0.6746 0.5455 0.8939
0.1746 0.9545 0.8939
0.8254 0.0455 0.3939
0.4606 0.9269 0.7500
0.0394 0.4269 0.2500
0.7812 0.2818 0.7500
0.9606 0.5731 0.7500
0.2188 0.7182 0.2500
0.2812 0.2182 0.7500
0.5394 0.0731 0.2500
0.7188 0.7818 0.2500
0.1746 0.9545 0.6061
0.3394 0.5820 0.7500
0.5346 0.2058 0.5428
0.8394 0.9180 0.7500
0.9654 0.7058 0.4572
0.1606 0.0820 0.2500
0.5346 0.2058 0.9572
0.6606 0.4180 0.2500
0.9654 0.7058 0.0428
0.4654 0.7942 0.4572
0.0346 0.2942 0.9572
0.4654 0.7942 0.0428
0.0346 0.2942 0.5428
0.7740 0.4868 0.7500
0.2740 0.0132 0.7500
0.2260 0.5132 0.2500
0.7260 0.9868 0.2500

***

[8]
KSbCS2, relaxed, DFT PBE-GGA; DOS at the Fermi energy = 5.134 states/eV/f.u.; size of the total moment = 1.701 μB/f.u.; crystal system = tetragonal; ΔE_f (raw) = 2.020 eV per atom
1.0
-5.1205 -0.8689 -1.6366
0.1876 -4.1815 1.6329
-1.8390 1.7926 4.8019
S Sb K C
2 1 1 1
direct
0.0000 0.0000 0.5000
0.5000 0.0000 0.0000
0.5000 0.5000 0.5000
0.0000 0.0000 0.0000
0.0000 0.5000 0.0000